Record 1
Computed, not measured: a geometry-optimized MnFeN structure at the PBE level of DFT.

Cell lengths 4.275, 2.830, 2.830 Å; angles 120.00, 90.00, 90.00 degrees
Each line ends with the local moment (μB).
Atoms (fractional coordinates):
Mn 0.747 0.667 0.333  2.34
Fe 0.259 0.333 0.667  2.15
N 0.994 0.000 0.000  -0.04

The calculated density comes out at 7.0 Mg/m³. The calculation puts the calculated volume at 9.9 A^3/atom. As for the energy relative to the elements, uncorrected: -0.08 eV/atom. Its distance to the lowest polymorph of the same formula is 0 meV/atom. Its total energy is -26.2 eV/cell.

---

Record 2
Computed, not measured: a geometry-optimized Y2ZrPaN4 structure at the PBE level of DFT.

Cell lengths 3.432, 5.920, 5.939 Å; angles 109.10, 90.00, 90.00 degrees
Atoms (fractional coordinates):
Y 0.500 0.000 0.500
Y 0.000 0.500 0.500
Zr 0.000 0.000 0.000
Pa 0.500 0.500 0.000
N 0.500 0.244 0.230
N 0.500 0.756 0.770
N 0.000 0.250 0.764
N 0.000 0.750 0.236

The calculated density comes out at 8.1 Mg/m³. The calculation puts the calculated volume at 14.3 A^3/atom. As for the energy relative to the elements, uncorrected: -1.68 eV/atom. Its total energy is -77.7 eV/cell.

---

Record 3
Computed, not measured: a geometry-optimized Ac2DyTe2O2 structure at the PBE level of DFT.

Cell lengths 4.519, 4.519, 9.173 Å; angles 104.26, 104.26, 90.00 degrees
Atoms (fractional coordinates):
Ac 0.386 0.386 0.772
Ac 0.614 0.614 0.228
Dy 0.000 0.000 0.000
Te 0.180 0.180 0.360
Te 0.820 0.820 0.640
O 0.000 0.500 0.000
O 0.500 0.000 0.000

The calculated density comes out at 8.5 Mg/m³. The calculation puts the calculated volume at 25.1 A^3/atom. As for the energy relative to the elements, uncorrected: -2.28 eV/atom. Its total energy is -45.0 eV/cell.

---

Record 4
Computed, not measured: a geometry-optimized MnPb2Br structure at the PBE level of DFT.

Cell lengths 3.551, 3.551, 8.271 Å; angles 90.00, 90.00, 90.01 degrees
Each line ends with the local moment (μB).
Atoms (fractional coordinates):
Br 0.500 0.500 0.250  -0.04
Mn 0.500 0.500 0.750  3.76
Pb 0.000 0.000 0.968  -0.10
Pb 0.000 0.000 0.532  -0.10

The calculated density comes out at 8.7 Mg/m³. The calculation puts the calculated volume at 26.1 A^3/atom. As for the energy relative to the elements, uncorrected: 0.12 eV/atom. Its distance to the lowest polymorph of the same formula is 87 meV/atom. Its total energy is -17.8 eV/cell.

---

Record 5
Computed, not measured: a geometry-optimized La2DyHg structure at the PBE level of DFT.

Cell lengths 3.578, 3.578, 12.685 Å; angles 81.89, 81.89, 60.00 degrees
Atoms (fractional coordinates):
La 0.089 0.089 0.733
La 0.911 0.911 0.267
Hg 0.000 0.000 0.000
Dy 0.500 0.500 0.500

The calculated density comes out at 7.7 Mg/m³. The calculation puts the calculated volume at 34.7 A^3/atom. Its distance to the lowest polymorph of the same formula is 317 meV/atom. Its total energy is -14.5 eV/cell. As for the formation energy: 0.08 eV/atom.

---

Record 6
Computed, not measured: a geometry-optimized NdLuGaAu structure at the PBE level of DFT.

Cell lengths 5.142, 5.142, 5.142 Å; angles 60.00, 60.00, 60.00 degrees
Atoms (fractional coordinates):
Au 0.750 0.750 0.750
Lu 0.500 0.500 0.500
Nd 0.000 0.000 0.000
Ga 0.250 0.250 0.250

The calculated density comes out at 10.1 Mg/m³. The calculation puts the calculated volume at 24.0 A^3/atom. Its total energy is -18.2 eV/cell. As for the formation energy: -0.65 eV/atom.

---

Record 7
Computed, not measured: a geometry-optimized PrH6Pd8 structure at the PBE level of DFT.

Cell lengths 5.084, 5.444, 7.585 Å; angles 73.31, 74.67, 60.30 degrees
Atoms (fractional coordinates):
Pr 0.000 0.000 0.000
H 0.870 0.592 0.213
H 0.829 0.132 0.631
H 0.463 0.810 0.612
H 0.537 0.190 0.388
H 0.171 0.868 0.369
H 0.130 0.408 0.787
Pd 0.789 0.460 0.672
Pd 0.877 0.243 0.340
Pd 0.535 0.889 0.330
Pd 0.328 0.343 0.995
Pd 0.672 0.657 0.005
Pd 0.465 0.111 0.670
Pd 0.123 0.757 0.660
Pd 0.211 0.540 0.328

The calculated density comes out at 9.6 Mg/m³. The calculation puts the calculated volume at 11.5 A^3/atom. Its total energy is -70.3 eV/cell.

---

Record 8
Computed, not measured: a geometry-optimized ScBe2Fe structure at the PBE level of DFT.

Cell lengths 4.088, 4.088, 4.088 Å; angles 60.00, 60.00, 60.00 degrees
Each line ends with the local moment (μB).
Atoms (fractional coordinates):
Sc 0.750 0.750 0.750  0.01
Be 0.000 0.000 0.000  0.00
Be 0.250 0.250 0.250  0.00
Fe 0.500 0.500 0.500  0.23

The calculated density comes out at 4.1 Mg/m³. The calculation puts the calculated volume at 12.1 A^3/atom. Its distance to the lowest polymorph of the same formula is 258 meV/atom. Its total energy is -21.5 eV/cell. As for the formation energy: 0.17 eV/atom.